# 1
The following is a PBE calculation of an optimized crystal structure of Pm3GePt4, from Alexandria.

Structure (extended XYZ):
```
8
Lattice="4.177 0.000 0.000 0.000 6.565 0.000 -2.089 -3.282 6.999" Properties=species:S:1:pos:R:3 pbc="T T T"
Pt 2.089 1.918 1.635
Pt 0.000 1.365 5.364
Pt 2.089 4.647 1.635
Pt 0.000 -1.365 5.364
Ge 2.089 0.000 0.000
Pm 2.089 3.283 4.351
Pm 0.000 0.000 2.648
Pm 0.000 3.282 0.000
```

Output
ΔE_f = -0.95 eV/atom
SG = No. 71

---

# 2
The following is a PBE calculation of an optimized crystal structure of KTi2Br6, from Alexandria.

Structure (extended XYZ):
```
9
Lattice="-1.792 -6.977 3.095 -3.439 -5.484 -4.424 4.861 -6.718 -2.399" Properties=species:S:1:pos:R:3 pbc="T T T"
Br -2.900 -10.638 -2.617
Br 2.759 -8.360 -0.636
Br 0.978 -9.559 -5.079
Br 0.802 -12.828 -1.386
Br -1.339 -9.296 0.896
Br -1.367 -6.873 -2.376
K -1.737 -4.156 -0.445
Ti 0.151 -14.551 -2.923
Ti -2.297 -8.769 -1.239
```

Output
SG = No. 146
Formation energy from raw total energies = -1.14 eV/atom

---

# 3
The following is a PBE calculation of an optimized crystal structure of ScPt2Rh2, from Alexandria.

Structure (extended XYZ):
```
10
Lattice="6.851 0.000 0.000 0.000 6.851 0.000 0.000 0.000 3.530" Properties=species:S:1:pos:R:3 pbc="T T T"
Rh 5.935 4.341 0.000
Rh 2.510 5.935 0.000
Rh 0.916 2.510 0.000
Rh 4.341 0.916 0.000
Sc 3.426 3.426 0.000
Sc 0.000 0.000 0.000
Pt 1.129 4.555 1.765
Pt 5.722 2.296 1.765
Pt 2.296 1.129 1.765
Pt 4.555 5.722 1.765
```

Output
ΔE_f = -0.40 eV/atom
SG = No. 127

---

# 4
The following is a PBE calculation of an optimized crystal structure of Li2HPdPb, from Alexandria.

Structure (extended XYZ):
```
5
Lattice="-1.661 -2.889 -2.263 -1.854 -1.483 3.255 -3.676 2.766 -0.833" Properties=species:S:1:pos:R:3 pbc="T T T"
H 0.000 0.000 0.000
Li -0.927 -0.741 1.627
Li -0.831 -1.445 -1.131
Pb -1.838 1.383 -0.417
Pd -3.595 -0.803 0.079
```

Output
SG = No. 123

---

# 5
The following is a PBE calculation of an optimized crystal structure of GaPHPtS, from Alexandria.

Structure (extended XYZ):
```
5
Lattice="-2.750 -2.678 0.887 1.677 -2.474 -2.272 3.477 -1.546 4.250" Properties=species:S:1:pos:R:3 pbc="T T T"
P 1.881 -1.437 2.953
S -0.574 -3.397 0.175
Pt 1.677 -2.562 0.926
Ga 1.304 -3.192 4.439
H 1.322 -3.715 1.920
```

Output
SG = No. 6

---

# 6
The following is a PBE calculation of an optimized crystal structure of KU2PtS4, from Alexandria.

Structure (extended XYZ):
```
16
Lattice="4.003 0.000 0.000 -2.002 6.694 0.000 0.000 0.000 13.776" Properties=species:S:1:pos:R:3 pbc="T T T"
S 0.000 3.548 1.442
S 2.002 3.146 8.330
S 0.000 0.000 0.000
S 0.000 0.000 6.888
S 0.000 3.548 5.446
S 2.002 0.847 3.444
S 0.000 5.848 10.332
S 2.002 3.146 12.334
U 2.002 1.771 0.898
U 2.002 1.771 5.990
U 0.000 4.924 7.786
U 0.000 4.924 12.878
K 0.000 1.499 10.332
K 2.002 5.195 3.444
Pt 2.002 4.507 10.332
Pt 0.000 2.187 3.444
```

Output
SG = No. 63
Formation energy from raw total energies = -1.21 eV/atom

---

no.,spin magnetization (μB per atom),total energy (eV per atom)
1,0.000,-6.33
2,0.111,-4.13
3,0.000,-7.02
4,0.000,-3.44
5,0.000,-4.67
6,0.623,-6.99